Entry 1:
# AcAuSeO, relaxed, DFT PBE
# calculated density	10.1	g/cm3
# E	-46.55	eV per cell
# SG	P4/nmm (129)
# energy relative to the elements, uncorrected	-1.862	eV per atom
# calculated volume	21.37	Å³/atom
data_AcAuSeO
_chemical_formula_sum 'Ac2 Au2 Se2 O2'
_cell_length_a 4.271
_cell_length_b 4.271
_cell_length_c 9.372
_cell_angle_alpha 90.00
_cell_angle_beta 90.00
_cell_angle_gamma 90.00
_symmetry_space_group_name_H-M 'P 1'
_symmetry_Int_Tables_number 1
_symmetry_space_group_name_Hall 'P 1'
loop_
_atom_site_label
_atom_site_type_symbol
_atom_site_fract_x
_atom_site_fract_y
_atom_site_fract_z
Ac1 Ac 0.500 0.000 0.636
Se1 Se 0.500 0.000 0.194
Au1 Au 0.000 0.000 0.000
O1 O 0.000 0.000 0.500
O2 O 0.500 0.500 0.500
Au2 Au 0.500 0.500 0.000
Ac2 Ac 0.000 0.500 0.364
Se2 Se 0.000 0.500 0.806

Entry 2:
# Zr5AlTl, relaxed, DFT PBE
# calculated density	7.1	g/cm3
# E	-96.77	eV per cell
# formation energy from the elements	67	meV/atom
# SG	C2/c (15)
# calculated volume	23.03	Å³/atom
data_Zr5AlTl
_chemical_formula_sum 'Zr10 Al2 Tl2'
_cell_length_a 5.670
_cell_length_b 5.670
_cell_length_c 11.301
_cell_angle_alpha 84.38
_cell_angle_beta 84.38
_cell_angle_gamma 63.27
_symmetry_space_group_name_H-M 'P 1'
_symmetry_Int_Tables_number 1
_symmetry_space_group_name_Hall 'P 1'
loop_
_atom_site_label
_atom_site_type_symbol
_atom_site_fract_x
_atom_site_fract_y
_atom_site_fract_z
Zr1 Zr 0.163 0.319 0.834
Al1 Al 0.000 0.000 0.500
Zr2 Zr 0.393 0.265 0.063
Zr3 Zr 0.319 0.163 0.334
Zr4 Zr 0.735 0.607 0.437
Zr5 Zr 0.299 0.701 0.250
Zr6 Zr 0.701 0.299 0.750
Tl1 Tl 0.189 0.811 0.750
Zr7 Zr 0.837 0.681 0.166
Zr8 Zr 0.265 0.393 0.563
Tl2 Tl 0.811 0.189 0.250
Zr9 Zr 0.607 0.735 0.937
Al2 Al 0.000 0.000 0.000
Zr10 Zr 0.681 0.837 0.666

Entry 3:
# Y4Ge, relaxed, DFT PBE
# calculated density	4.2	g/cm3
# E	-30.87	eV per cell
# formation energy from the elements	-79	meV/atom
# SG	Pm-3m (221)
# calculated volume	33.88	Å³/atom
data_Y4Ge
_chemical_formula_sum 'Y4 Ge1'
_cell_length_a 5.533
_cell_length_b 5.533
_cell_length_c 5.533
_cell_angle_alpha 90.00
_cell_angle_beta 90.00
_cell_angle_gamma 90.00
_symmetry_space_group_name_H-M 'P 1'
_symmetry_Int_Tables_number 1
_symmetry_space_group_name_Hall 'P 1'
loop_
_atom_site_label
_atom_site_type_symbol
_atom_site_fract_x
_atom_site_fract_y
_atom_site_fract_z
Y1 Y 0.500 0.500 0.000
Y2 Y 0.000 0.000 0.000
Y3 Y 0.000 0.500 0.500
Y4 Y 0.500 0.000 0.500
Ge1 Ge 0.500 0.500 0.500

Entry 4:
# ScCuRe3, relaxed, DFT PBE
# calculated density	11.6	g/cm3
# E	-34.77	eV per cell
# excess energy over the best structure of this formula in the dataset	1076	meV/atom
# formation energy from the elements	2601	meV/atom
# SG	Pm-3m (221)
# calculated volume	19.17	Å³/atom
data_ScCuRe3
_chemical_formula_sum 'Sc1 Cu1 Re3'
_cell_length_a 4.576
_cell_length_b 4.576
_cell_length_c 4.576
_cell_angle_alpha 90.00
_cell_angle_beta 90.00
_cell_angle_gamma 90.00
_symmetry_space_group_name_H-M 'P 1'
_symmetry_Int_Tables_number 1
_symmetry_space_group_name_Hall 'P 1'
loop_
_atom_site_label
_atom_site_type_symbol
_atom_site_fract_x
_atom_site_fract_y
_atom_site_fract_z
Cu1 Cu 0.500 0.500 0.500
Re1 Re 0.500 0.000 0.000
Sc1 Sc 0.000 0.000 0.000
Re2 Re 0.000 0.500 0.000
Re3 Re 0.000 0.000 0.500

Entry 5:
# Ca2MgZn3Au6, relaxed, DFT PBE
# calculated density	8.6	g/cm3
# E	-33.11	eV per cell
# formation energy from the elements	-336	meV/atom
# SG	P4/mmm (123)
# calculated volume	23.93	Å³/atom
data_Ca2MgZn3Au6
_chemical_formula_sum 'Ca2 Mg1 Zn3 Au6'
_cell_length_a 4.084
_cell_length_b 4.084
_cell_length_c 17.216
_cell_angle_alpha 90.00
_cell_angle_beta 90.00
_cell_angle_gamma 90.00
_symmetry_space_group_name_H-M 'P 1'
_symmetry_Int_Tables_number 1
_symmetry_space_group_name_Hall 'P 1'
loop_
_atom_site_label
_atom_site_type_symbol
_atom_site_fract_x
_atom_site_fract_y
_atom_site_fract_z
Au1 Au 0.000 0.000 0.855
Au2 Au 0.000 0.000 0.145
Zn1 Zn 0.000 0.000 0.000
Au3 Au 0.500 0.000 0.389
Au4 Au 0.000 0.500 0.389
Zn2 Zn 0.000 0.000 0.292
Ca1 Ca 0.500 0.500 0.792
Ca2 Ca 0.500 0.500 0.208
Mg1 Mg 0.500 0.500 0.500
Au5 Au 0.000 0.500 0.611
Au6 Au 0.500 0.000 0.611
Zn3 Zn 0.000 0.000 0.708

Entry 6:
# Ti6Ni3N, relaxed, DFT PBE
# calculated density	5.6	g/cm3
# E	-156.14	eV per cell
# SG	P2_1/c (14)
# energy relative to the elements, uncorrected	-0.503	eV per atom
# calculated volume	14.07	Å³/atom
data_Ti6Ni3N
_chemical_formula_sum 'Ti12 Ni6 N2'
_cell_length_a 5.312
_cell_length_b 6.646
_cell_length_c 8.030
_cell_angle_alpha 90.00
_cell_angle_beta 83.09
_cell_angle_gamma 90.00
_symmetry_space_group_name_H-M 'P 1'
_symmetry_Int_Tables_number 1
_symmetry_space_group_name_Hall 'P 1'
loop_
_atom_site_label
_atom_site_type_symbol
_atom_site_fract_x
_atom_site_fract_y
_atom_site_fract_z
Ti1 Ti 0.331 0.855 0.048
Ni1 Ni 0.395 0.101 0.279
Ti2 Ti 0.169 0.355 0.452
Ni2 Ni 0.500 0.500 0.000
Ti3 Ti 0.669 0.145 0.952
Ti4 Ti 0.131 0.278 0.067
Ni3 Ni 0.895 0.399 0.779
Ni4 Ni 0.605 0.899 0.721
N1 N 0.500 0.500 0.500
N2 N 0.000 0.000 0.000
Ni5 Ni 0.000 0.000 0.500
Ni6 Ni 0.105 0.601 0.221
Ti5 Ti 0.333 0.551 0.742
Ti6 Ti 0.667 0.449 0.258
Ti7 Ti 0.167 0.051 0.758
Ti8 Ti 0.831 0.645 0.548
Ti9 Ti 0.369 0.778 0.433
Ti10 Ti 0.869 0.722 0.933
Ti11 Ti 0.833 0.949 0.242
Ti12 Ti 0.631 0.222 0.567